1.
An optimized crystal structure of CsKRb2Na, computed with PBE.

abc: 4.6938 7.7763 22.0337
angles: 90.00 90.00 90.00
Closest atoms and distances in Å follow each position.
Space group Imm2 (No. 44)
Asymmetric unit:
Cs1 0.0000 0.0000 0.0000 x2  1 K 4.43, 2 Na 4.44, 2 Cs 4.69
K1 0.0000 0.0000 0.2010 x2  1 Cs 4.43, 2 Na 4.51, 5 Rb 4.56-4.81, 2 K 4.69
Rb1 0.0000 0.0000 0.4079 x2  1 K 4.56, 2 Rb 4.69, 2 Na 4.79, 4 Cs 4.97
Rb2 0.0000 0.0000 0.7723 x2  2 Na 4.51, 2 Rb 4.69, 4 K 4.81, 1 Cs 5.02
Na1 0.0000 0.5000 0.0975 x2  2 Cs 4.44, 2 K 4.51, 4 Rb 4.51-4.79, 2 Na 4.69

E above lowest polymorph: 0 meV/atom

=====

2.
An optimized crystal structure of Cs2K6RbNa, computed with PBE.

abc: 8.7630 8.8525 10.3302
angles: 83.62 89.50 88.61
Closest atoms and distances in Å follow each position.
Space group P1 (No. 1)
Asymmetric unit:
Cs1 0.0000 0.0000 0.0000 x1  1 Na 4.52, 3 K 4.78-4.96, 1 Rb 5.00, 1 Cs 5.05
Cs2 0.1410 0.9915 0.5259 x1  1 Na 4.51, 3 K 4.76-4.96, 1 Rb 4.98
K1 0.3116 0.4801 0.7239 x1  5 K 4.31-4.64, 1 Na 4.77
K2 0.4885 0.1924 0.0900 x1  1 Na 4.01, 3 K 4.24-4.46
K3 0.4970 0.6915 0.0729 x1  1 Na 4.00, 4 K 4.24-4.46
K4 0.6428 0.3015 0.4559 x1  1 Na 4.00, 4 K 4.24-4.46
K5 0.6537 0.8002 0.4381 x1  1 Na 4.01, 3 K 4.24-4.46
K6 0.8292 0.5130 0.8048 x1  5 K 4.31-4.64, 1 Na 4.78
Rb1 0.0703 0.4953 0.2637 x1  4 K 4.51-4.93, 2 Cs 4.98-5.00
Na1 0.5689 0.9962 0.7639 x1  4 K 4.00-4.01

=====

3.
An optimized crystal structure of Cs2KRb4Na, computed with PBE.

abc: 7.8198 7.6941 11.2412
angles: 90.00 90.19 90.00
Closest atoms and distances in Å follow each position.
Space group P2/m (No. 10)
Asymmetric unit:
Cs1 0.0000 0.0000 0.0000 x1  8 Rb 4.68-4.73
Cs2 0.5000 0.5000 0.5000 x1  8 Rb 4.87-4.90
K1 0.0000 0.0000 0.5000 x1  8 Rb 4.85-4.92
Rb1 0.0021 0.5000 0.7627 x2  4 Cs 4.68-4.90, 2 Na 4.71-4.75, 2 K 4.85
Rb2 0.4992 0.0000 0.2350 x2  2 Na 4.67, 4 Cs 4.71-4.87, 2 K 4.91-4.92
Na1 0.5000 0.5000 0.0000 x1  8 Rb 4.67-4.75

=====

4.
An optimized crystal structure of CsK2RbNa, computed with PBE.

abc: 7.3904 7.3904 7.8657
angles: 90.00 90.00 90.00
Closest atoms and distances in Å follow each position.
Space group P4/mmm (No. 123)
Asymmetric unit:
Cs1 0.0000 0.0000 0.0000 x1  2 Na 3.93
K1 0.0000 0.5000 0.5000 x2  2 Na 3.70
Rb1 0.5000 0.5000 0.0000 x1  4 Cs 5.23, 8 K 5.40
Na1 0.0000 0.0000 0.5000 x1  4 K 3.70, 2 Cs 3.93

E above lowest polymorph: 27 meV/atom

=====

5.
An optimized crystal structure of CsK4RbNa2, computed with PBE.

abc: 17.5394 16.7874 9.2367
angles: 90.00 121.74 90.00
Closest atoms and distances in Å follow each position.
Space group C2/c (No. 15)
Asymmetric unit:
Cs1 0.0000 0.0000 0.0000 x4  2 Cs 4.62, 6 K 4.64-4.94
K1 0.9997 0.2764 0.0187 x8  1 Na 3.76
K2 0.2093 0.4771 0.4575 x8  3 Na 3.86-3.91
Rb1 0.2500 0.2500 0.0000 x4  6 K 4.50-4.62, 2 Na 4.62
Na1 0.0000 0.5000 0.0000 x4  6 K 3.76-3.91
Na2 0.2500 0.2500 0.5000 x4  4 K 3.86-4.31

=====

6.
An optimized crystal structure of CsK5RbNa2, computed with PBE.

abc: 11.4428 11.4428 19.6189
angles: 90.00 90.00 90.00
Closest atoms and distances in Å follow each position.
Space group I4/mcm (No. 140)
Asymmetric unit:
Cs1 0.0000 0.5000 0.2500 x4  4 K 4.33
K1 0.0000 0.0000 0.0000 x4  8 K 4.69, 4 Na 4.72, 2 Rb 4.90
K2 0.2138 0.2862 0.1171 x16  1 Na 3.79
Rb1 0.0000 0.0000 0.2500 x4  10 K 4.85-4.90
Na1 0.1000 0.4000 0.5000 x8  1 Na 3.24

=====

7.
An optimized crystal structure of Cs2K3Rb6Na, computed with PBE.

abc: 26.8433 15.8539 4.8092
angles: 90.00 95.01 90.00
Closest atoms and distances in Å follow each position.
Space group C2/m (No. 12)
Asymmetric unit:
Cs1 0.1756 0.0000 0.1038 x4  3 K 4.70-4.76, 2 Cs 4.81, 3 Rb 5.02
K1 0.0000 0.0000 0.0000 x2  2 Cs 4.70, 4 Rb 4.81, 2 K 4.81
K2 0.2500 0.2500 0.5000 x4  2 Cs 4.76, 4 Rb 4.80-4.95, 2 K 4.81
Rb1 0.0804 0.2560 0.7450 x8  1 Na 4.53, 4 Rb 4.72-4.81, 2 K 4.80-4.81, 1 Cs 5.02
Rb2 0.1495 0.5000 0.1891 x4  1 Na 4.40, 4 Rb 4.72-4.81
Na1 0.0000 0.5000 0.5000 x2  6 Rb 4.40-4.53, 2 Na 4.81

=====

8.
An optimized crystal structure of CsKRbNa2, computed with PBE.

abc: 4.8789 7.1036 19.6919
angles: 90.00 90.00 90.00
Closest atoms and distances in Å follow each position.
Space group Imm2 (No. 44)
Asymmetric unit:
Cs1 0.0000 0.0000 0.0000 x2  4 K 4.68, 6 Na 4.86-5.02, 2 Cs 4.88, 2 Rb 4.97
K1 0.0000 0.0000 0.4078 x2  3 Na 4.06-4.38, 2 Rb 4.43
Rb1 0.0000 0.5000 0.7201 x2  6 Na 4.12-4.45, 2 K 4.43
Na1 0.0000 0.0000 0.6138 x2  2 Na 4.04, 1 K 4.06, 2 Rb 4.12
Na2 0.0000 0.5000 0.2773 x2  2 Na 4.04, 2 K 4.38, 4 Rb 4.45

E above lowest polymorph: 0 meV/atom

=====

Energy of formation values, unit eV/atom, following the record order: 0.06 0.03 0.02 0.08 0.07 0.04 0.03 0.06.
E_tot values, unit eV for the cell shown, following the record order: -9.8 -10.3 -7.8 -4.9 -33.3 -38.3 -23.6 -10.6.
Density of states at the Fermi level values, unit states/eV/cell, following the record order: 8.36 7.25 7.28 3.62 17.67 27.36 21.66 5.90.